{
  "formula": "Co2Te",
  "functional": "SCAN",
  "state": "PBEsol geometry",
  "cell": [[-1.1764, 2.6986, -2.0094], [-3.0401, 0.0595, 1.8597], [5.0109, 3.3080, 4.6700]],
  "species": ["Te", "Te", "Co", "Co", "Co", "Co"],
  "fractional_positions": [[0.2500, 0.7500, 0.5000], [0.0000, 0.0000, 0.0000], [0.8291, 0.3291, 0.6582], [0.4209, 0.4209, 0.8418], [0.6709, 0.1709, 0.3418], [0.5791, 0.5791, 0.1582]],
  "crystal_system": "tetragonal",
  "spacegroup": "I4_1/amd",
  "relative_energy_ev_per_fu": 1.358
}



{
  "formula": "Co2Te",
  "functional": "SCAN",
  "state": "PBEsol geometry",
  "cell": [[-2.1392, 4.2093, -1.0809], [-2.7227, -3.5614, 2.3729], [3.3963, 2.3709, 2.5114]],
  "species": ["Te", "Te", "Co", "Co", "Co", "Co"],
  "fractional_positions": [[0.2500, 0.5000, 0.2500], [0.7500, 0.5000, 0.7500], [0.3247, 0.0000, 0.8247], [0.6753, 0.0000, 0.1753], [0.8247, 0.0000, 0.6753], [0.1753, 0.0000, 0.3247]],
  "crystal_system": "tetragonal",
  "spacegroup": "I4/mcm",
  "relative_energy_ev_per_fu": 0.947
}



{
  "formula": "Co5Te4",
  "functional": "SCAN",
  "state": "PBEsol geometry",
  "cell": [[-2.0453, -0.3733, -2.8825], [4.2921, -2.2870, -4.9404], [-2.3586, -6.5108, 0.3257]],
  "species": ["Co", "Co", "Co", "Co", "Co", "Te", "Te", "Te", "Te"],
  "fractional_positions": [[0.0000, 0.0000, 0.0000], [0.3666, 0.0000, 0.2667], [0.6334, 0.0000, 0.7333], [0.3666, 0.2667, 0.0000], [0.6334, 0.7333, 0.0000], [0.0000, 0.2752, 0.7248], [0.0000, 0.7248, 0.2752], [0.2752, 0.7248, 0.7248], [0.7248, 0.2752, 0.2752]],
  "crystal_system": "tetragonal",
  "spacegroup": "I4/mmm",
  "total_energy_ev_per_cell": -233.7
}



{
  "formula": "Co2Te",
  "functional": "SCAN",
  "state": "PBEsol geometry",
  "cell": [[-2.7012, 2.3080, -0.2057], [-0.4106, -0.7901, -3.4732], [-3.7044, -6.9005, 2.0075]],
  "species": ["Te", "Te", "Co", "Co", "Co", "Co"],
  "fractional_positions": [[0.3386, 0.7500, 0.6771], [0.6614, 0.2500, 0.3229], [0.5499, 0.7500, 0.0999], [0.9515, 0.7500, 0.9031], [0.0485, 0.2500, 0.0969], [0.4501, 0.2500, 0.9001]],
  "crystal_system": "orthorhombic",
  "spacegroup": "Cmcm",
  "relative_energy_ev_per_fu": 0.000
}



{
  "formula": "CoTe3",
  "functional": "SCAN",
  "state": "PBEsol geometry",
  "cell": [[3.0914, 0.0970, 0.0000], [-0.0819, 3.0919, 0.0000], [0.0000, 0.0000, 9.6666]],
  "species": ["Co", "Te", "Te", "Te"],
  "fractional_positions": [[0.0000, 0.0000, 0.0000], [0.5000, 0.5000, 0.8319], [0.0000, 0.0000, 0.5000], [0.5000, 0.5000, 0.1681]],
  "crystal_system": "orthorhombic",
  "spacegroup": "Cmmm",
  "total_energy_ev_per_cell": -128.1
}



{
  "formula": "Co2Te",
  "functional": "SCAN",
  "state": "PBEsol geometry",
  "cell": [[-2.8751, -0.0951, 1.9586], [-1.8175, -1.1756, -2.7251], [0.7975, -3.5471, 0.9983]],
  "species": ["Te", "Co", "Co"],
  "fractional_positions": [[0.0000, 0.0000, 0.0000], [0.0000, 0.5000, 0.5000], [0.5000, 0.0000, 0.5000]],
  "crystal_system": "tetragonal",
  "spacegroup": "P4/mmm",
  "relative_energy_ev_per_fu": 0.978
}



{
  "formula": "Co2Te",
  "functional": "SCAN",
  "state": "PBEsol geometry",
  "cell": [[-0.6841, 0.7700, -3.2544], [-3.4773, -1.7359, 0.3203], [0.3680, 3.7945, 0.8205]],
  "species": ["Te", "Co", "Co"],
  "fractional_positions": [[0.0000, 0.0000, 0.0000], [0.5000, 0.6667, 0.3333], [0.5000, 0.3333, 0.6667]],
  "crystal_system": "hexagonal",
  "spacegroup": "P6/mmm",
  "relative_energy_ev_per_fu": 1.309
}



{
  "formula": "CoTe4",
  "functional": "SCAN",
  "state": "PBEsol geometry",
  "cell": [[5.5067, 0.0000, 0.0000], [-1.8356, 5.1917, 0.0000], [-1.8356, -2.5959, 4.4962]],
  "species": ["Co", "Te", "Te", "Te", "Te"],
  "fractional_positions": [[0.0000, 0.0000, 0.0000], [0.0000, 0.0000, 0.5000], [0.0000, 0.5000, 0.0000], [0.5000, 0.0000, 0.0000], [0.5000, 0.5000, 0.5000]],
  "crystal_system": "cubic",
  "spacegroup": "Im-3m",
  "total_energy_ev_per_cell": -164.6
}



{
  "formula": "CoTe3",
  "functional": "SCAN",
  "state": "PBEsol geometry",
  "cell": [[-1.4387, -1.1324, -3.0454], [4.9105, -0.5413, -2.1185], [-1.5302, -4.0971, 4.3194]],
  "species": ["Co", "Te", "Te", "Te"],
  "fractional_positions": [[0.0000, 0.0352, 0.0000], [0.5000, 0.3690, 0.0000], [0.3463, 0.7276, 0.6927], [0.6537, 0.0349, 0.3073]],
  "crystal_system": "orthorhombic",
  "spacegroup": "Imm2",
  "total_energy_ev_per_cell": -128.8
}



{
  "formula": "Ti3CoTe",
  "functional": "SCAN",
  "state": "PBEsol geometry",
  "cell": [[4.8626, 0.0000, 0.0000], [0.0000, 4.8626, 0.0000], [0.0000, 0.0000, 4.8626]],
  "species": ["Te", "Co", "Ti", "Ti", "Ti"],
  "fractional_positions": [[0.0000, 0.0000, 0.0000], [0.5000, 0.5000, 0.5000], [0.0000, 0.5000, 0.0000], [0.0000, 0.0000, 0.5000], [0.5000, 0.0000, 0.0000]],
  "crystal_system": "cubic",
  "spacegroup": "Pm-3m",
  "total_energy_ev_per_cell": -97.4
}



{
  "formula": "Ti2CoTe",
  "functional": "SCAN",
  "state": "PBEsol geometry",
  "cell": [[5.4230, 0.0000, 0.0000], [2.7115, 4.9422, 0.0000], [2.7115, 0.0000, 4.9422]],
  "species": ["Te", "Te", "Co", "Co", "Ti", "Ti", "Ti", "Ti"],
  "fractional_positions": [[0.7500, 0.5000, 0.5000], [0.0000, 0.0000, 0.0000], [0.2500, 0.5000, 0.5000], [0.5000, 0.0000, 0.0000], [0.1771, 0.9479, 0.4479], [0.5729, 0.0521, 0.5521], [0.3750, 0.4479, 0.0521], [0.8750, 0.5521, 0.9479]],
  "crystal_system": "tetragonal",
  "spacegroup": "I-42d",
  "total_energy_ev_per_cell": -174.0
}



{
  "formula": "TlCoTe",
  "functional": "SCAN",
  "state": "PBEsol geometry",
  "cell": [[-1.0623, -4.3064, 1.8494], [2.6776, -3.8272, -1.1301], [2.8818, -1.9752, 3.2996]],
  "species": ["Co", "Te", "Tl"],
  "fractional_positions": [[0.5000, 0.5000, 0.5000], [0.7500, 0.7500, 0.7500], [0.0000, 0.0000, 0.0000]],
  "crystal_system": "cubic",
  "spacegroup": "F-43m",
  "total_energy_ev_per_cell": -124.8
}



{
  "formula": "Tl2CoTe",
  "functional": "SCAN",
  "state": "PBEsol geometry",
  "cell": [[-0.8378, -1.5235, 3.5618], [3.4331, -3.1563, -0.5426], [1.9060, 5.1101, 2.6341]],
  "species": ["Co", "Te", "Tl", "Tl"],
  "fractional_positions": [[0.5000, 0.0000, 0.5000], [0.5000, 0.5000, 0.5000], [0.0000, 0.1600, 0.8204], [0.0000, 0.8400, 0.1796]],
  "crystal_system": "orthorhombic",
  "spacegroup": "Cmmm",
  "relative_energy_ev_per_fu": 0.311
}



{
  "formula": "Tl2CoTe",
  "functional": "SCAN",
  "state": "PBEsol geometry",
  "cell": [[3.3173, 0.0000, 0.0000], [0.0000, 4.2951, 0.0000], [0.0000, -2.1476, 6.4609]],
  "species": ["Co", "Te", "Tl", "Tl"],
  "fractional_positions": [[0.0000, 0.8527, 0.7055], [0.5000, 0.7078, 0.4155], [0.0000, 0.0626, 0.1252], [0.5000, 0.3920, 0.7841]],
  "crystal_system": "orthorhombic",
  "spacegroup": "Amm2",
  "relative_energy_ev_per_fu": 0.158
}



{
  "formula": "TlCo2Te",
  "functional": "SCAN",
  "state": "PBEsol geometry",
  "cell": [[-0.9363, -1.4357, -2.7272], [-3.0076, -2.3994, 2.2957], [-3.0547, 3.2138, -0.6431]],
  "species": ["Tl", "Te", "Co", "Co"],
  "fractional_positions": [[0.5000, 0.0000, 0.0000], [0.5000, 0.5000, 0.5000], [0.0000, 0.0000, 0.5000], [0.0000, 0.5000, 0.0000]],
  "crystal_system": "tetragonal",
  "spacegroup": "P4/mmm",
  "total_energy_ev_per_cell": -141.7
}



{
  "formula": "Tl2CoTe",
  "functional": "SCAN",
  "state": "PBEsol geometry",
  "cell": [[-2.9666, -1.3628, 1.9059], [0.1091, -0.2450, -3.7543], [4.4149, -6.2072, 2.4336]],
  "species": ["Co", "Te", "Tl", "Tl"],
  "fractional_positions": [[0.4934, 0.9869, 0.4809], [0.7777, 0.5555, 0.3337], [0.9989, 0.9978, 0.9963], [0.2299, 0.4599, 0.6890]],
  "crystal_system": "monoclinic",
  "spacegroup": "Cm",
  "relative_energy_ev_per_fu": 0.000
}



{
  "formula": "CoTe2W",
  "functional": "SCAN",
  "state": "PBEsol geometry",
  "cell": [[3.8250, 0.0000, 0.0000], [1.9125, 3.3128, 0.0255], [1.9125, 1.0505, 6.6962]],
  "species": ["Co", "Te", "Te", "W"],
  "fractional_positions": [[0.7638, 0.7638, 0.7087], [0.0366, 0.0370, 0.8897], [0.2265, 0.2261, 0.3209], [0.4731, 0.4731, 0.5807]],
  "crystal_system": "trigonal",
  "spacegroup": "R3m",
  "relative_energy_ev_per_fu": 0.000
}



{
  "formula": "CoTe2W",
  "functional": "SCAN",
  "state": "PBEsol geometry",
  "cell": [[-0.1684, 2.1966, -2.4581], [0.4867, -0.9707, -3.1171], [-7.3430, -0.9800, -2.5890]],
  "species": ["Co", "Te", "Te", "W"],
  "fractional_positions": [[0.0000, 0.0000, 0.0000], [0.2546, 0.2546, 0.2362], [0.7454, 0.7454, 0.7638], [0.5000, 0.5000, 0.5000]],
  "crystal_system": "trigonal",
  "spacegroup": "R-3m",
  "relative_energy_ev_per_fu": 1.618
}



{
  "formula": "YCoTe2",
  "functional": "SCAN",
  "state": "PBEsol geometry",
  "cell": [[-0.4810, 0.8220, -3.4833], [1.6029, -3.0930, -0.9513], [-6.0160, -3.1449, 0.0885]],
  "species": ["Co", "Te", "Te", "Y"],
  "fractional_positions": [[0.5000, 0.5000, 0.5000], [0.0000, 0.0000, 0.7328], [0.0000, 0.0000, 0.2672], [0.5000, 0.5000, 0.0000]],
  "crystal_system": "tetragonal",
  "spacegroup": "P4/mmm",
  "total_energy_ev_per_cell": -120.8
}



{
  "formula": "YCo2Te",
  "functional": "SCAN",
  "state": "PBEsol geometry",
  "cell": [[-0.9508, -2.0490, -2.9234], [1.9009, -3.0731, 1.5357], [-4.2928, 1.2717, 2.8393]],
  "species": ["Y", "Te", "Co", "Co"],
  "fractional_positions": [[0.2449, 0.7449, 0.4898], [0.4884, 0.4884, 0.9767], [0.0030, 0.0030, 0.0060], [0.7637, 0.2637, 0.5274]],
  "crystal_system": "orthorhombic",
  "spacegroup": "Imm2",
  "total_energy_ev_per_cell": -99.1
}



Per-record mass density, Mg/m³: 8.94 9.29 8.38 8.10 7.93 8.93 9.07 7.35 7.34 4.77 7.08 8.27 9.51 10.74 11.55 10.45 9.76 11.51 7.56 8.38